Pa6Zn2Hg: optimized geometry, PBE.

POSCAR file:
```
Pa6Zn2Hg
1.0
-7.8768 3.7722 -0.2421
1.5735 -7.1391 -4.7844
-0.9394 -1.8082 2.3892
Hg Pa Zn
1 6 2
Direct
0.0000 0.0000 0.0000
0.6177 0.0000 0.0000
0.3823 0.3823 0.0000
0.0000 0.6177 0.0000
0.3094 0.0000 0.5000
0.0000 0.3094 0.5000
0.6906 0.6906 0.5000
0.6667 0.3333 0.5000
0.3333 0.6667 0.5000
```

The final energy comes out at -58.93 eV for the cell shown. Its formation energy from the elements is 0.10 eV per atom. The value obtained for the theoretical density is 13.7 g/cm3.

***

HgPb: optimized geometry, PBE.

POSCAR file:
```
HgPb
1.0
3.4238 0.0000 0.0000
-1.7119 2.9650 0.0000
0.0000 0.0000 5.5378
Hg Pb
1 1
Direct
0.6667 0.3333 0.7500
0.3333 0.6667 0.2500
```

The final energy comes out at -3.94 eV for the cell shown. The value obtained for the theoretical density is 12.0 g/cm3.

***

HgPb: optimized geometry, PBE.

POSCAR file:
```
HgPb
1.0
0.0000 3.0966 3.0966
3.0966 0.0000 3.0966
3.0966 3.0966 0.0000
Hg Pb
1 1
Direct
0.0000 0.0000 0.0000
0.5000 0.5000 0.5000
```

The final energy comes out at -3.79 eV for the cell shown. The value obtained for the theoretical density is 11.4 g/cm3.

***

HgPb: optimized geometry, PBE.

POSCAR file:
```
HgPb
1.0
0.0000 3.3429 3.3429
3.3429 0.0000 3.3429
3.3429 3.3429 0.0000
Hg Pb
1 1
Direct
0.0000 0.0000 0.0000
0.2500 0.2500 0.2500
```

The final energy comes out at -3.28 eV for the cell shown. The value obtained for the theoretical density is 9.1 g/cm3.

***

HgPdPb2: optimized geometry, PBE.

POSCAR file:
```
HgPdPb2
1.0
0.5759 -2.8229 4.3083
-4.0984 -0.9978 3.0115
-1.9386 -4.8011 0.2308
Hg Pb Pd
1 2 1
Direct
0.2500 0.2500 0.2500
0.0000 0.0000 0.0000
0.7500 0.7500 0.7500
0.5000 0.5000 0.5000
```

The final energy comes out at -12.46 eV for the cell shown. The value obtained for the theoretical density is 12.2 g/cm3.

***

Pm2Hg3Pb3: optimized geometry, PBE.

POSCAR file:
```
Pm2Hg3Pb3
1.0
-3.7747 0.4622 2.8709
2.1869 -2.7929 3.3251
3.8371 7.5616 3.8277
Hg Pb Pm
3 3 2
Direct
0.0000 0.5000 0.0000
0.5000 0.5000 0.2427
0.5000 0.5000 0.7573
0.5000 0.0000 0.0000
0.5000 0.0000 0.5000
0.0000 0.5000 0.5000
0.0000 0.0000 0.2488
0.0000 0.0000 0.7512
```

The final energy comes out at -24.63 eV for the cell shown. The value obtained for the theoretical density is 11.7 g/cm3.

***

Pm3Hg5Pb: optimized geometry, PBE.

POSCAR file:
```
Pm3Hg5Pb
1.0
9.1501 0.0000 0.0000
-4.5750 7.9242 0.0000
0.0000 0.0000 6.5475
Hg Pb Pm
10 2 6
Direct
0.6667 0.3333 0.0000
0.3333 0.6667 0.0000
0.6632 0.0000 0.2500
0.3368 0.3368 0.2500
0.0000 0.6632 0.2500
0.6667 0.3333 0.5000
0.3333 0.6667 0.5000
0.3368 0.0000 0.7500
0.0000 0.3368 0.7500
0.6632 0.6632 0.7500
0.0000 0.0000 0.0000
0.0000 0.0000 0.5000
0.3364 0.0000 0.2500
0.0000 0.3364 0.2500
0.6636 0.6636 0.2500
0.6636 0.0000 0.7500
0.3364 0.3364 0.7500
0.0000 0.6636 0.7500
```

The final energy comes out at -46.88 eV for the cell shown. The value obtained for the theoretical density is 11.5 g/cm3.

***

PmHg2Pb: optimized geometry, PBE.

POSCAR file:
```
PmHg2Pb
1.0
4.6362 0.0000 0.0000
0.0000 4.6362 0.0000
0.0000 0.0000 4.8842
Hg Pb Pm
2 1 1
Direct
0.5000 0.0000 0.0000
0.0000 0.5000 0.0000
0.0000 0.0000 0.5000
0.5000 0.5000 0.5000
```

The final energy comes out at -10.63 eV for the cell shown. The value obtained for the theoretical density is 11.9 g/cm3.

***

Pm5HgPb3: optimized geometry, PBE.

POSCAR file:
```
Pm5HgPb3
1.0
9.6151 0.0000 0.0000
-4.8075 8.3269 0.0000
0.0000 0.0000 6.7627
Hg Pb Pm
2 6 10
Direct
0.0000 0.0000 0.0000
0.0000 0.0000 0.5000
0.6246 0.0000 0.2500
0.3754 0.3754 0.2500
0.0000 0.6246 0.2500
0.3754 0.0000 0.7500
0.0000 0.3754 0.7500
0.6246 0.6246 0.7500
0.6667 0.3333 0.0000
0.3333 0.6667 0.0000
0.2785 0.0000 0.2500
0.0000 0.2785 0.2500
0.7215 0.7215 0.2500
0.6667 0.3333 0.5000
0.3333 0.6667 0.5000
0.7215 0.0000 0.7500
0.2785 0.2785 0.7500
0.0000 0.7215 0.7500
```

The final energy comes out at -80.41 eV for the cell shown. The value obtained for the theoretical density is 9.5 g/cm3.

***

PmHgPb: optimized geometry, PBE.

POSCAR file:
```
PmHgPb
1.0
0.0000 3.6340 3.6340
3.6340 0.0000 3.6340
3.6340 3.6340 0.0000
Hg Pb Pm
1 1 1
Direct
0.2500 0.2500 0.2500
0.0000 0.0000 0.0000
0.7500 0.7500 0.7500
```

The final energy comes out at -9.22 eV for the cell shown. The value obtained for the theoretical density is 9.6 g/cm3.

***

HgPtPb2: optimized geometry, PBE.

POSCAR file:
```
HgPtPb2
1.0
1.3735 -1.5513 4.6965
1.5344 3.4359 3.4915
-2.9893 1.0710 4.0333
Hg Pb Pt
1 2 1
Direct
0.5000 0.5000 0.5000
0.0000 0.0000 0.0000
0.2500 0.2500 0.2500
0.7500 0.7500 0.7500
```

The final energy comes out at -12.98 eV for the cell shown. The value obtained for the theoretical density is 14.1 g/cm3.

***

PuHgPb: optimized geometry, PBE.

POSCAR file:
```
PuHgPb
1.0
-2.3349 -4.6229 0.0907
-1.0831 -2.2660 4.5302
-4.9138 -0.3889 1.5919
Hg Pb Pu
1 1 1
Direct
0.5000 0.5000 0.5000
0.0000 0.0000 0.0000
0.2500 0.2500 0.2500
```

The final energy comes out at -17.77 eV for the cell shown. The value obtained for the theoretical density is 11.0 g/cm3. The calculation puts the relative energy among the computed polymorphs at 0.174 eV/atom.